[1]
Computed, not measured: a relaxed structure of GdEr at the PBE-GGA level of DFT.

volume: 41.135 Å³ per atom
SG: F-43m (216)
electronic total energy: -21.56 eV/cell
energy of formation from the pure elements: 1.914 eV/atom

Lattice parameters (Å, degrees): 6.904 6.904 6.904 90.00 90.00 90.00
Fractional coordinates of all 8 atoms:
Gd  0.000  0.000  0.000
Gd  0.000  0.500  0.500
Gd  0.500  0.000  0.500
Gd  0.500  0.500  0.000
Er  0.250  0.250  0.250
Er  0.250  0.750  0.750
Er  0.750  0.250  0.750
Er  0.750  0.750  0.250

[2]
Computed, not measured: a relaxed structure of BeZnFe2 at the PBE-GGA level of DFT.

volume: 10.810 Å³ per atom
SG: Pm-3m (221)
electronic total energy: -86.44 eV/cell

Lattice parameters (Å, degrees): 5.572 5.572 5.572 90.00 90.00 90.00
Fractional coordinates of all 16 atoms:
Be  0.000  0.000  0.000
Be  0.000  0.000  0.500
Be  0.000  0.500  0.000
Be  0.500  0.000  0.000
Zn  0.000  0.500  0.500
Zn  0.500  0.000  0.500
Zn  0.500  0.500  0.000
Zn  0.500  0.500  0.500
Fe  0.229  0.229  0.229
Fe  0.229  0.229  0.771
Fe  0.229  0.771  0.229
Fe  0.229  0.771  0.771
Fe  0.771  0.229  0.229
Fe  0.771  0.229  0.771
Fe  0.771  0.771  0.229
Fe  0.771  0.771  0.771

[3]
Computed, not measured: a relaxed structure of CsGd2CuTe3Se at the PBE-GGA level of DFT.

volume: 32.554 Å³ per atom
SG: Cmcm (63)
electronic total energy: -72.87 eV/cell

Lattice parameters (Å, degrees): 7.994 7.994 15.563 90.00 90.00 148.42
Fractional coordinates of all 16 atoms:
Cs  0.117  0.883  0.750
Cs  0.883  0.117  0.250
Gd  0.376  0.624  0.560
Gd  0.376  0.624  0.940
Gd  0.624  0.376  0.060
Gd  0.624  0.376  0.440
Cu  0.164  0.836  0.250
Cu  0.836  0.164  0.750
Te  0.257  0.743  0.106
Te  0.257  0.743  0.394
Te  0.431  0.569  0.750
Te  0.569  0.431  0.250
Te  0.743  0.257  0.606
Te  0.743  0.257  0.894
Se  0.000  0.000  0.000
Se  0.000  0.000  0.500

[4]
Computed, not measured: a relaxed structure of Ba5Pr5Sn at the PBE-GGA level of DFT.

volume: 46.337 Å³ per atom
SG: P-6m2 (187)
electronic total energy: -35.95 eV/cell

Lattice parameters (Å, degrees): 6.838 6.838 12.587 90.00 90.00 120.00
Fractional coordinates of all 11 atoms:
Ba  0.000  0.000  0.000
Ba  0.333  0.667  0.175
Ba  0.333  0.667  0.825
Ba  0.667  0.333  0.299
Ba  0.667  0.333  0.701
Pr  0.000  0.000  0.286
Pr  0.000  0.000  0.714
Pr  0.168  0.335  0.500
Pr  0.168  0.832  0.500
Pr  0.665  0.832  0.500
Sn  0.667  0.333  0.000

[5]
Computed, not measured: a relaxed structure of U5P4S at the PBE-GGA level of DFT.

volume: 21.177 Å³ per atom
SG: I4/m (87)
electronic total energy: -92.78 eV/cell

Lattice parameters (Å, degrees): 6.777 6.777 6.777 99.59 99.59 131.82
Fractional coordinates of all 10 atoms:
U  0.000  0.000  0.000
U  0.200  0.600  0.800
U  0.400  0.200  0.600
U  0.600  0.800  0.400
U  0.800  0.400  0.200
P  0.100  0.300  0.400
P  0.300  0.900  0.200
P  0.700  0.100  0.800
P  0.900  0.700  0.600
S  0.500  0.500  0.000

[6]
Computed, not measured: a relaxed structure of NaAsIrO at the PBE-GGA level of DFT.

volume: 18.584 Å³ per atom
SG: Pmc2_1 (26)
electronic total energy: -42.68 eV/cell

Lattice parameters (Å, degrees): 3.815 5.887 6.621 90.00 90.00 90.00
Fractional coordinates of all 8 atoms:
Na  0.000  0.113  0.000
Na  0.000  0.887  0.500
As  0.500  0.336  0.719
As  0.500  0.664  0.219
Ir  0.500  0.299  0.364
Ir  0.500  0.701  0.864
O  0.000  0.224  0.323
O  0.000  0.776  0.823